Arrangement one

A plane-wave DFT calculation with PBE-GGA was carried out for a relaxed structure of Li2TaMn. Values from VASP.

```
&SYSTEM
  ibrav = 0, nat = 4, ntyp = 3
/
ATOMIC_SPECIES
Li 6.94 Li.upf
Mn 54.94 Mn.upf
Ta 180.95 Ta.upf
CELL_PARAMETERS angstrom
-1.396 0.723 -4.037
2.255 -3.430 -1.386
-2.855 -0.449 3.228
ATOMIC_POSITIONS crystal
Li 0.000 0.000 0.000
Li 0.250 0.750 0.500
Mn 0.500 0.500 0.000
Ta 0.750 0.250 0.500
```

DOS(E_F)	4.510	states/eV/f.u.
size of the total moment	0.9	Bohr magnetons per cell
density	7.207	g/cm³

Arrangement two

A plane-wave DFT calculation with PBE-GGA was carried out for a relaxed structure of Li2TaMn. Values from VASP.

```
&SYSTEM
  ibrav = 0, nat = 4, ntyp = 3
/
ATOMIC_SPECIES
Li 6.94 Li.upf
Mn 54.94 Mn.upf
Ta 180.95 Ta.upf
CELL_PARAMETERS angstrom
4.915 -0.024 -0.027
1.691 4.615 0.027
-2.631 -3.261 2.568
ATOMIC_POSITIONS crystal
Li 0.982 0.982 0.000
Li 0.751 0.251 0.500
Mn 0.501 0.501 0.000
Ta 0.266 0.766 0.500
```

DOS(E_F)	2.538	states/eV/f.u.
size of the total moment	1.5	Bohr magnetons per cell
density	7.076	g/cm³

According to the calculations, the structures order from most to least stable as arrangement two, arrangement one.

Arrangement one

A plane-wave DFT calculation with PBE-GGA was carried out for a relaxed structure of LiTa3Mn. Values from VASP.

```
&SYSTEM
  ibrav = 0, nat = 5, ntyp = 3
/
ATOMIC_SPECIES
Mn 54.94 Mn.upf
Li 6.94 Li.upf
Ta 180.95 Ta.upf
CELL_PARAMETERS angstrom
-0.742 0.771 -4.199
-3.077 -3.051 -0.017
-2.960 2.979 1.070
ATOMIC_POSITIONS crystal
Mn 0.500 0.500 0.500
Li 0.000 0.000 0.000
Ta 0.000 0.500 0.000
Ta 0.000 0.000 0.500
Ta 0.500 0.000 0.000
```

DOS(E_F)	7.446	states/eV/f.u.
size of the total moment	0.0	Bohr magnetons per cell
density	12.341	g/cm³

Arrangement two

A plane-wave DFT calculation with PBE-GGA was carried out for a relaxed structure of LiTa3Mn. Values from VASP.

```
&SYSTEM
  ibrav = 0, nat = 5, ntyp = 3
/
ATOMIC_SPECIES
Mn 54.94 Mn.upf
Li 6.94 Li.upf
Ta 180.95 Ta.upf
CELL_PARAMETERS angstrom
4.623 0.000 0.000
0.000 4.623 0.000
0.000 0.000 4.623
ATOMIC_POSITIONS crystal
Mn 0.000 0.000 0.000
Li 0.500 0.500 0.500
Ta 0.000 0.500 0.000
Ta 0.000 0.000 0.500
Ta 0.500 0.000 0.000
```

DOS(E_F)	2.657	states/eV/f.u.
size of the total moment	0.0	Bohr magnetons per cell
density	10.164	g/cm³

According to the calculations, the structures order from most to least stable as arrangement two, arrangement one.

Arrangement one

A plane-wave DFT calculation with PBE-GGA was carried out for a relaxed structure of LiMnTc2. Values from VASP.

```
&SYSTEM
  ibrav = 0, nat = 4, ntyp = 3
/
ATOMIC_SPECIES
Li 6.94 Li.upf
Mn 54.94 Mn.upf
Tc 98.00 Tc.upf
CELL_PARAMETERS angstrom
4.921 -0.012 -0.023
4.026 2.830 -0.023
1.870 0.589 3.792
ATOMIC_POSITIONS crystal
Li 0.750 0.750 0.750
Mn 0.250 0.250 0.250
Tc 0.992 0.992 0.008
Tc 0.508 0.508 0.492
```

DOS(E_F)	3.113	states/eV/f.u.
size of the total moment	1.4	Bohr magnetons per cell
density	8.062	g/cm³

Arrangement two

A plane-wave DFT calculation with PBE-GGA was carried out for a relaxed structure of LiMnTc2. Values from VASP.

```
&SYSTEM
  ibrav = 0, nat = 4, ntyp = 3
/
ATOMIC_SPECIES
Li 6.94 Li.upf
Mn 54.94 Mn.upf
Tc 98.00 Tc.upf
CELL_PARAMETERS angstrom
4.936 -0.324 0.000
-2.019 4.516 0.000
0.000 0.000 2.516
ATOMIC_POSITIONS crystal
Li 0.500 0.000 0.500
Mn 0.000 0.500 0.500
Tc 0.000 0.000 0.000
Tc 0.500 0.500 0.000
```

DOS(E_F)	2.926	states/eV/f.u.
size of the total moment	2.7	Bohr magnetons per cell
density	7.866	g/cm³

Arrangement three

A plane-wave DFT calculation with PBE-GGA was carried out for a relaxed structure of LiMnTc2. Values from VASP.

```
&SYSTEM
  ibrav = 0, nat = 4, ntyp = 3
/
ATOMIC_SPECIES
Li 6.94 Li.upf
Mn 54.94 Mn.upf
Tc 98.00 Tc.upf
CELL_PARAMETERS angstrom
4.627 0.079 -0.170
3.893 2.502 -0.170
0.494 0.150 4.884
ATOMIC_POSITIONS crystal
Li 0.503 0.503 0.489
Mn 0.257 0.257 0.267
Tc 0.990 0.990 0.990
Tc 0.750 0.750 0.754
```

DOS(E_F)	3.219	states/eV/f.u.
size of the total moment	2.9	Bohr magnetons per cell
density	7.750	g/cm³

Arrangement four

A plane-wave DFT calculation with PBE-GGA was carried out for a relaxed structure of LiMnTc2. Values from VASP.

```
&SYSTEM
  ibrav = 0, nat = 4, ntyp = 3
/
ATOMIC_SPECIES
Li 6.94 Li.upf
Mn 54.94 Mn.upf
Tc 98.00 Tc.upf
CELL_PARAMETERS angstrom
-2.193 0.347 -2.224
-0.413 -3.114 -0.078
-3.690 0.396 3.700
ATOMIC_POSITIONS crystal
Li 0.500 0.500 0.250
Mn 0.500 0.500 0.750
Tc 0.000 0.000 0.007
Tc 0.000 0.000 0.493
```

DOS(E_F)	4.238	states/eV/f.u.
size of the total moment	2.0	Bohr magnetons per cell
density	8.276	g/cm³

According to the calculations, the structures order from most to least stable as arrangement one, arrangement two, arrangement three, arrangement four.

Arrangement one

A plane-wave DFT calculation with PBE-GGA was carried out for a relaxed structure of LiMnTc2. Values from VASP.

```
&SYSTEM
  ibrav = 0, nat = 4, ntyp = 3
/
ATOMIC_SPECIES
Li 6.94 Li.upf
Mn 54.94 Mn.upf
Tc 98.00 Tc.upf
CELL_PARAMETERS angstrom
4.887 -0.005 0.003
2.206 4.361 -0.003
-3.103 -2.900 2.418
ATOMIC_POSITIONS crystal
Li 0.493 0.493 0.000
Mn 0.240 0.740 0.500
Tc 0.009 0.009 0.000
Tc 0.758 0.258 0.500
```

DOS(E_F)	3.987	states/eV/f.u.
size of the total moment	0.0	Bohr magnetons per cell
density	8.309	g/cm³

Arrangement two

A plane-wave DFT calculation with PBE-GGA was carried out for a relaxed structure of LiMnTc2. Values from VASP.

```
&SYSTEM
  ibrav = 0, nat = 4, ntyp = 3
/
ATOMIC_SPECIES
Li 6.94 Li.upf
Mn 54.94 Mn.upf
Tc 98.00 Tc.upf
CELL_PARAMETERS angstrom
4.181 -0.705 0.000
0.697 4.182 0.000
-2.439 -1.739 3.001
ATOMIC_POSITIONS crystal
Li 0.500 0.500 0.000
Mn 0.750 0.250 0.500
Tc 0.000 0.000 0.000
Tc 0.250 0.750 0.500
```

DOS(E_F)	3.915	states/eV/f.u.
size of the total moment	2.7	Bohr magnetons per cell
density	7.938	g/cm³

According to the calculations, the structures order from most to least stable as arrangement two, arrangement one.

Arrangement one

A plane-wave DFT calculation with PBE-GGA was carried out for a relaxed structure of LiMnTc2. Values from VASP.

```
&SYSTEM
  ibrav = 0, nat = 4, ntyp = 3
/
ATOMIC_SPECIES
Li 6.94 Li.upf
Mn 54.94 Mn.upf
Tc 98.00 Tc.upf
CELL_PARAMETERS angstrom
-2.738 -1.659 -0.128
1.814 -3.125 1.693
-1.077 1.479 3.885
ATOMIC_POSITIONS crystal
Li 0.500 0.000 0.500
Mn 0.000 0.500 0.500
Tc 0.000 0.000 0.000
Tc 0.500 0.500 0.000
```

DOS(E_F)	2.700	states/eV/f.u.
size of the total moment	3.2	Bohr magnetons per cell
density	7.801	g/cm³

Arrangement two

A plane-wave DFT calculation with PBE-GGA was carried out for a relaxed structure of LiMnTc2. Values from VASP.

```
&SYSTEM
  ibrav = 0, nat = 4, ntyp = 3
/
ATOMIC_SPECIES
Li 6.94 Li.upf
Mn 54.94 Mn.upf
Tc 98.00 Tc.upf
CELL_PARAMETERS angstrom
9.205 0.000 0.000
8.794 2.719 0.000
8.794 1.328 2.373
ATOMIC_POSITIONS crystal
Li 0.500 0.500 0.500
Mn 0.747 0.747 0.747
Tc 0.998 0.998 0.998
Tc 0.255 0.255 0.255
```

DOS(E_F)	2.929	states/eV/f.u.
size of the total moment	3.6	Bohr magnetons per cell
density	7.209	g/cm³

Arrangement three

A plane-wave DFT calculation with PBE-GGA was carried out for a relaxed structure of LiMnTc2. Values from VASP.

```
&SYSTEM
  ibrav = 0, nat = 4, ntyp = 3
/
ATOMIC_SPECIES
Li 6.94 Li.upf
Mn 54.94 Mn.upf
Tc 98.00 Tc.upf
CELL_PARAMETERS angstrom
4.273 0.000 0.000
0.000 2.563 -0.024
0.000 0.762 4.874
ATOMIC_POSITIONS crystal
Li 0.000 0.534 0.500
Mn 0.500 0.711 0.742
Tc 0.000 0.029 0.999
Tc 0.500 0.227 0.259
```

DOS(E_F)	3.236	states/eV/f.u.
size of the total moment	2.0	Bohr magnetons per cell
density	8.010	g/cm³

Arrangement four

A plane-wave DFT calculation with PBE-GGA was carried out for a relaxed structure of LiMnTc2. Values from VASP.

```
&SYSTEM
  ibrav = 0, nat = 4, ntyp = 3
/
ATOMIC_SPECIES
Li 6.94 Li.upf
Mn 54.94 Mn.upf
Tc 98.00 Tc.upf
CELL_PARAMETERS angstrom
3.058 0.000 0.000
0.000 3.058 0.000
0.000 0.000 5.853
ATOMIC_POSITIONS crystal
Li 0.000 0.000 0.503
Mn 0.500 0.500 0.731
Tc 0.000 0.000 0.012
Tc 0.500 0.500 0.254
```

DOS(E_F)	3.022	states/eV/f.u.
size of the total moment	3.2	Bohr magnetons per cell
density	7.823	g/cm³

According to the calculations, the structures order from most to least stable as arrangement three, arrangement four, arrangement two, arrangement one.

Arrangement one

A plane-wave DFT calculation with PBE-GGA was carried out for a relaxed structure of LiMnTc2. Values from VASP.

```
&SYSTEM
  ibrav = 0, nat = 4, ntyp = 3
/
ATOMIC_SPECIES
Li 6.94 Li.upf
Mn 54.94 Mn.upf
Tc 98.00 Tc.upf
CELL_PARAMETERS angstrom
2.538 0.000 0.000
0.000 4.119 0.000
0.000 0.000 5.117
ATOMIC_POSITIONS crystal
Li 0.500 0.500 0.250
Mn 0.500 0.500 0.750
Tc 0.000 0.000 0.007
Tc 0.000 0.000 0.493
```

DOS(E_F)	2.865	states/eV/f.u.
size of the total moment	2.2	Bohr magnetons per cell
density	8.006	g/cm³

Arrangement two

A plane-wave DFT calculation with PBE-GGA was carried out for a relaxed structure of LiMnTc2. Values from VASP.

```
&SYSTEM
  ibrav = 0, nat = 4, ntyp = 3
/
ATOMIC_SPECIES
Li 6.94 Li.upf
Mn 54.94 Mn.upf
Tc 98.00 Tc.upf
CELL_PARAMETERS angstrom
-3.383 2.395 -2.751
-1.722 -2.518 4.130
-0.547 1.847 1.681
ATOMIC_POSITIONS crystal
Li 0.500 0.500 0.000
Mn 0.500 0.000 0.500
Tc 0.000 0.000 0.000
Tc 0.000 0.500 0.500
```

DOS(E_F)	3.261	states/eV/f.u.
size of the total moment	2.6	Bohr magnetons per cell
density	7.903	g/cm³

According to the calculations, the structures order from most to least stable as arrangement two, arrangement one.